# Sm3Tl4CrS8 PBE-GGA relaxed
# E (eV per atom): -5.32
# N(E_F) (states/eV/cell): 0.45
# E_form (uncorrected) (eV/atom): -1.18
data_Sm3Tl4CrS8
_space_group_name_H-M_alt 'R -3 m'
_space_group_IT_number 166
_space_group_name_Hall '-R 3 2"'
_cell_length_a 8.0038
_cell_length_b 8.0038
_cell_length_c 22.5232
_cell_angle_alpha 90.00
_cell_angle_beta 90.00
_cell_angle_gamma 120.00
loop_
_atom_site_label
_atom_site_fract_x
_atom_site_fract_y
_atom_site_fract_z
Sm1 0.0000 0.5000 0.0000
Tl1 0.0000 0.0000 0.5000
Tl2 0.0000 0.5000 0.5000
Cr1 0.0000 0.0000 0.0000
S1 0.0000 0.0000 0.2646
S2 0.0286 0.5143 0.7304

---

# Sm2Tl3CrS6 PBE-GGA relaxed
# E (eV per atom): -5.36
# E_form (uncorrected) (eV/atom): -1.11
data_Sm2Tl3CrS6
_space_group_name_H-M_alt 'C 1 2/m 1'
_space_group_IT_number 12
_cell_length_a 6.859
_cell_length_b 11.852
_cell_length_c 7.806
_cell_angle_alpha 90.00
_cell_angle_beta 106.89
_cell_angle_gamma 90.00
loop_
_space_group_symop_operation_xyz
'x,y,z'
'-x,-y,-z'
'-x,y,-z'
'x,-y,z'
'x+1/2,y+1/2,z'
'-x+1/2,-y+1/2,-z'
'-x+1/2,y+1/2,-z'
'x+1/2,-y+1/2,z'
loop_
_atom_site_label
_atom_site_fract_x
_atom_site_fract_y
_atom_site_fract_z
Sm1 0.000 0.166 0.000
Tl1 0.000 0.000 0.500
Tl2 0.000 0.326 0.500
Cr1 0.000 0.500 0.000
S1 0.213 0.350 0.190
S2 0.234 0.500 0.800

---

# Sm3Tl3CrS8 PBE-GGA relaxed
# E (eV per atom): -5.47
# N(E_F) (states/eV/cell): 18.83
# E_form (uncorrected) (eV/atom): -1.21
data_Sm3Tl3CrS8
_space_group_name_H-M_alt 'R -3 m'
_space_group_IT_number 166
_space_group_name_Hall '-R 3 2"'
_cell_length_a 7.9678
_cell_length_b 7.9678
_cell_length_c 22.3307
_cell_angle_alpha 90.00
_cell_angle_beta 90.00
_cell_angle_gamma 120.00
loop_
_atom_site_label
_atom_site_fract_x
_atom_site_fract_y
_atom_site_fract_z
Sm1 0.0000 0.5000 0.0000
Tl1 0.0000 0.5000 0.5000
Cr1 0.0000 0.0000 0.0000
S1 0.0000 0.0000 0.2639
S2 0.0375 0.5187 0.7295

---

# Sm2VCrS6 PBE-GGA relaxed
# E (eV per atom): -6.71
# N(E_F) (states/eV/cell): 9.78
# E_form (uncorrected) (eV/atom): -1.41
data_Sm2VCrS6
_space_group_name_H-M_alt 'P 1 21/c 1'
_space_group_IT_number 14
_cell_length_a 6.237
_cell_length_b 6.919
_cell_length_c 11.024
_cell_angle_alpha 90.00
_cell_angle_beta 124.21
_cell_angle_gamma 90.00
loop_
_space_group_symop_operation_xyz
'x,y,z'
'-x,-y,-z'
'-x,y+1/2,-z+1/2'
'x,-y+1/2,z+1/2'
loop_
_atom_site_label
_atom_site_fract_x
_atom_site_fract_y
_atom_site_fract_z
Sm1 0.205 0.103 0.249
V1 0.500 0.000 0.000
Cr1 0.000 0.000 0.500
S1 0.122 0.189 0.946
S2 0.272 0.686 0.947
S3 0.368 0.024 0.750

---

# CrSnS2 PBE-GGA relaxed
# E (eV per atom): -5.72
# N(E_F) (states/eV/cell): 10.09
# E_form (uncorrected) (eV/atom): -0.25
data_CrSnS2
_space_group_name_H-M_alt 'I -4 2 d'
_space_group_IT_number 122
_space_group_name_Hall 'I -4 2bw'
_cell_length_a 6.055
_cell_length_b 6.055
_cell_length_c 11.253
_cell_angle_alpha 90.00
_cell_angle_beta 90.00
_cell_angle_gamma 90.00
loop_
_atom_site_label
_atom_site_fract_x
_atom_site_fract_y
_atom_site_fract_z
Cr1 0.000 0.000 0.000
Sn1 0.000 0.000 0.500
S1 0.187 0.250 0.125

---

# Cr2SnS PBE-GGA relaxed
# E (eV per atom): -6.54
# Relative energy among the computed polymorphs (eV/atom): 0.000
# N(E_F) (states/eV/cell): 22.76
# E_form (uncorrected) (eV/atom): 0.30
data_Cr2SnS
_space_group_name_H-M_alt 'I -4 2 d'
_space_group_IT_number 122
_space_group_name_Hall 'I -4 2bw'
_cell_length_a 5.820
_cell_length_b 5.820
_cell_length_c 11.296
_cell_angle_alpha 90.00
_cell_angle_beta 90.00
_cell_angle_gamma 90.00
loop_
_atom_site_label
_atom_site_fract_x
_atom_site_fract_y
_atom_site_fract_z
Cr1 0.185 0.250 0.125
Sn1 0.000 0.000 0.500
S1 0.000 0.000 0.000

---

# CrSnS2 PBE-GGA relaxed
# E (eV per atom): -5.48
# N(E_F) (states/eV/cell): 4.80
# E_form (uncorrected) (eV/atom): -0.01
data_CrSnS2
_space_group_name_H-M_alt 'R -3 m'
_space_group_IT_number 166
_space_group_name_Hall '-R 3 2"'
_cell_length_a 4.0636
_cell_length_b 4.0636
_cell_length_c 22.6017
_cell_angle_alpha 90.00
_cell_angle_beta 90.00
_cell_angle_gamma 120.00
loop_
_atom_site_label
_atom_site_fract_x
_atom_site_fract_y
_atom_site_fract_z
Cr1 0.0000 0.0000 0.0000
Sn1 0.0000 0.0000 0.5000
S1 0.0000 0.0000 0.1001

---

# CrSnS2 PBE-GGA relaxed
# E (eV per atom): -5.77
# N(E_F) (states/eV/cell): 8.04
# E_form (uncorrected) (eV/atom): -0.30
data_CrSnS2
_space_group_name_H-M_alt 'P n a 21'
_space_group_IT_number 33
_cell_length_a 6.406
_cell_length_b 8.373
_cell_length_c 7.322
_cell_angle_alpha 90.00
_cell_angle_beta 90.00
_cell_angle_gamma 90.00
loop_
_space_group_symop_operation_xyz
'x,y,z'
'-x,-y,z+1/2'
'-x+1/2,y+1/2,z+1/2'
'x+1/2,-y+1/2,z'
loop_
_atom_site_label
_atom_site_fract_x
_atom_site_fract_y
_atom_site_fract_z
Cr1 0.111 0.131 0.000
Sn1 0.047 0.731 0.897
S1 0.036 0.621 0.550
S2 0.041 0.026 0.720